Pm6Nd3Er2 | GGA-PBE | relaxed

Properties
M_tot	0.0	Bohr magnetons per cell
space group	I4/mmm, No. 139

Unit cell a=4.8293 b=4.8293 c=17.1595 alpha=98.09 beta=98.09 gamma=90.00
Fractional coordinates of all 11 atoms:
Nd 0.0000 0.0000 0.0000
Nd 0.2011 0.2011 0.4021
Nd 0.7989 0.7989 0.5979
Pm 0.6963 0.6963 0.3926
Pm 0.6192 0.1192 0.2384
Pm 0.3808 0.8808 0.7616
Pm 0.3037 0.3037 0.6074
Pm 0.1192 0.6192 0.2384
Pm 0.8808 0.3808 0.7616
Er 0.5455 0.5455 0.0909
Er 0.4545 0.4545 0.9091

***

Pm6Nd3Er | GGA-PBE | relaxed

Properties
M_tot	0.0	Bohr magnetons per cell
space group	C2/m, No. 12

Unit cell a=6.8596 b=9.1971 c=6.7254 alpha=104.97 beta=120.66 gamma=90.00
Fractional coordinates of all 10 atoms:
Pm 0.4285 0.3021 0.3777
Pm 0.6241 0.9177 0.2482
Pm 0.5715 0.6979 0.6223
Pm 0.3759 0.0823 0.7518
Pm 0.9491 0.3021 0.3777
Pm 0.0509 0.6979 0.6223
Nd 0.0000 0.0000 0.0000
Nd 0.9252 0.3314 0.8504
Nd 0.0748 0.6686 0.1496
Er 0.5000 0.5000 0.0000

***

Pm5Nd2Er3 | GGA-PBE | relaxed

Properties
M_tot	0.0	Bohr magnetons per cell
space group	C2/c, No. 15

Unit cell a=9.6391 b=9.6955 c=11.1996 alpha=126.11 beta=126.00 gamma=68.67
Fractional coordinates of all 20 atoms:
Pm 0.0191 0.7691 0.5381
Pm 0.2828 0.5328 0.0657
Pm 0.8730 0.6177 0.7693
Pm 0.7172 0.4672 0.9343
Pm 0.5193 0.2693 0.5386
Pm 0.9809 0.2309 0.4619
Pm 0.4807 0.7307 0.4614
Pm 0.6037 0.8485 0.2307
Pm 0.3963 0.1515 0.7693
Pm 0.1270 0.3823 0.2307
Nd 0.7853 0.0213 0.7556
Nd 0.4703 0.7343 0.7556
Nd 0.2147 0.9787 0.2444
Nd 0.5297 0.2657 0.2444
Er 0.2689 0.5383 0.7613
Er 0.7751 0.0251 0.0502
Er 0.2249 0.9749 0.9498
Er 0.9923 0.2230 0.7613
Er 0.7311 0.4617 0.2387
Er 0.0077 0.7770 0.2387

***

Pm2NdEr7 | GGA-PBE | relaxed

Properties
M_tot	0.0	Bohr magnetons per cell
space group	P-1, No. 2

Unit cell a=6.1411 b=9.3914 c=7.9370 alpha=115.01 beta=130.12 gamma=77.37
Fractional coordinates of all 10 atoms:
Er 0.2010 0.4021 0.2014
Er 0.7003 0.8987 0.1996
Er 0.7990 0.5979 0.7986
Er 0.1006 0.6984 0.5999
Er 0.5000 0.5000 0.0000
Er 0.2997 0.1013 0.8004
Er 0.8994 0.3016 0.4001
Pm 0.3978 0.7969 0.3975
Pm 0.6022 0.2031 0.6025
Nd 0.0000 0.0000 0.0000

***

PmNd2Er4 | GGA-PBE | relaxed

Properties
M_tot	0.0	Bohr magnetons per cell
space group	I4/mmm, No. 139

Unit cell a=4.5622 b=4.5622 c=11.7186 alpha=101.22 beta=101.22 gamma=90.00
Fractional coordinates of all 7 atoms:
Er 0.8593 0.8593 0.7186
Er 0.2500 0.7500 0.5000
Er 0.7500 0.2500 0.5000
Er 0.1407 0.1407 0.2814
Pm 0.0000 0.0000 0.0000
Nd 0.5984 0.5984 0.1968
Nd 0.4016 0.4016 0.8032

***

Pm7Nd4Er | GGA-PBE | relaxed

Properties
M_tot	0.4	Bohr magnetons per cell
space group	C2/m, No. 12

Unit cell a=6.0655 b=9.8460 c=8.7664 alpha=60.20 beta=69.76 gamma=72.06
Fractional coordinates of all 12 atoms:
Er 0.0000 0.0000 0.0000
Nd 0.5747 0.2989 0.5517
Nd 0.6743 0.6124 0.0391
Nd 0.4253 0.7011 0.4483
Nd 0.3257 0.3876 0.9609
Pm 0.7927 0.2231 0.1916
Pm 0.9196 0.4345 0.7262
Pm 0.0804 0.5655 0.2738
Pm 0.5000 0.0000 0.0000
Pm 0.2073 0.7769 0.8084
Pm 0.2085 0.1248 0.4582
Pm 0.7915 0.8752 0.5418

***

Pm3NdEr6 | GGA-PBE | relaxed

Properties
M_tot	0.0	Bohr magnetons per cell
space group	Cmc2_1, No. 36

Unit cell a=6.2287 b=10.9746 c=10.9746 alpha=119.44 beta=90.00 gamma=90.00
Fractional coordinates of all 20 atoms:
Pm 0.4612 0.9360 0.7161
Pm 0.9612 0.7161 0.9360
Pm 0.5666 0.6085 0.3915
Pm 0.0666 0.3915 0.6085
Pm 0.9612 0.0640 0.2839
Pm 0.4612 0.2839 0.0640
Er 0.1405 0.7181 0.2819
Er 0.0335 0.3831 0.2872
Er 0.5335 0.6169 0.7128
Er 0.3690 0.0393 0.4618
Er 0.8690 0.4618 0.0393
Er 0.5335 0.2872 0.3831
Er 0.8690 0.9607 0.5382
Er 0.9060 0.0450 0.9550
Er 0.3690 0.5382 0.9607
Er 0.0335 0.7128 0.6169
Er 0.6405 0.2819 0.7181
Er 0.4060 0.9550 0.0450
Nd 0.6448 0.7953 0.2047
Nd 0.1448 0.2047 0.7953

***

Pm8Nd2Er | GGA-PBE | relaxed

Properties
M_tot	0.0	Bohr magnetons per cell
space group	C2/m, No. 12

Unit cell a=5.1514 b=8.1465 c=9.6292 alpha=104.67 beta=105.51 gamma=90.00
Fractional coordinates of all 11 atoms:
Nd 0.7733 0.3634 0.5466
Nd 0.2267 0.6366 0.4534
Pm 0.1354 0.1795 0.2709
Pm 0.9549 0.2712 0.9097
Pm 0.8646 0.8205 0.7291
Pm 0.5900 0.4518 0.1800
Pm 0.6810 0.9094 0.3620
Pm 0.0451 0.7288 0.0903
Pm 0.4100 0.5482 0.8200
Pm 0.3190 0.0906 0.6380
Er 0.5000 0.0000 0.0000

***

Pm2Nd7Er3 | GGA-PBE | relaxed

Properties
M_tot	0.0	Bohr magnetons per cell
space group	P2/m, No. 10

Unit cell a=3.6460 b=5.9062 c=19.1255 alpha=93.83 beta=90.00 gamma=90.00
Fractional coordinates of all 12 atoms:
Er 0.5000 0.5000 0.0000
Er 0.0000 0.7846 0.6312
Er 0.0000 0.2154 0.3688
Pm 0.5000 0.2978 0.7022
Pm 0.5000 0.7022 0.2978
Nd 0.5000 0.7414 0.4645
Nd 0.0000 0.3295 0.8561
Nd 0.5000 0.1735 0.1810
Nd 0.0000 0.0000 0.0000
Nd 0.5000 0.2586 0.5355
Nd 0.0000 0.6705 0.1439
Nd 0.5000 0.8265 0.8190

***

Pm2Nd7Er2 | GGA-PBE | relaxed

Properties
M_tot	0.0	Bohr magnetons per cell
space group	C2/m, No. 12

Unit cell a=10.1689 b=6.3783 c=6.3783 alpha=113.08 beta=91.33 gamma=91.33
Fractional coordinates of all 11 atoms:
Nd 0.8508 0.8239 0.4170
Nd 0.6348 0.8131 0.8131
Nd 0.1492 0.5830 0.1761
Nd 0.8508 0.4170 0.8239
Nd 0.1492 0.1761 0.5830
Nd 0.0000 0.0000 0.0000
Nd 0.3652 0.1869 0.1869
Er 0.5000 0.7287 0.2713
Er 0.5000 0.2713 0.7287
Pm 0.2942 0.7099 0.7099
Pm 0.7058 0.2901 0.2901

***

Pm3Nd2Er4 | GGA-PBE | relaxed

Properties
M_tot	0.0	Bohr magnetons per cell
space group	C2/m, No. 12

Unit cell a=6.2019 b=6.2019 c=10.7786 alpha=106.47 beta=106.47 gamma=48.45
Fractional coordinates of all 9 atoms:
Er 0.6662 0.6662 0.8886
Er 0.3338 0.3338 0.1114
Er 0.0001 0.0001 0.3341
Er 0.9999 0.9999 0.6659
Pm 0.6669 0.6669 0.5574
Pm 0.3331 0.3331 0.4426
Pm 0.0000 0.0000 0.0000
Nd 0.6658 0.6658 0.2201
Nd 0.3342 0.3342 0.7799

***

Pm3Nd8Er4 | GGA-PBE | relaxed

Properties
M_tot	0.0	Bohr magnetons per cell
space group	C2/m, No. 12

Unit cell a=6.8967 b=9.4014 c=9.4014 alpha=81.65 beta=112.86 gamma=112.86
Fractional coordinates of all 15 atoms:
Pm 0.5000 0.0000 0.5000
Pm 0.5000 0.5000 0.0000
Pm 0.5000 0.5000 0.5000
Nd 0.0000 0.7061 0.2939
Nd 0.0000 0.2939 0.7061
Nd 0.1891 0.2436 0.2436
Nd 0.5000 0.7535 0.2465
Nd 0.2361 0.7035 0.7035
Nd 0.8109 0.7564 0.7564
Nd 0.7639 0.2965 0.2965
Nd 0.5000 0.2465 0.7535
Er 0.0000 0.0000 0.0000
Er 0.0000 0.5000 0.0000
Er 0.0000 0.0000 0.5000
Er 0.5000 0.0000 0.0000

***

PmNd4Er6 | GGA-PBE | relaxed

Properties
M_tot	0.0	Bohr magnetons per cell
space group	I-42m, No. 121

Unit cell a=9.6953 b=9.6953 c=9.6953 alpha=58.25 beta=139.74 gamma=139.74
Fractional coordinates of all 11 atoms:
Nd 0.0000 0.6342 0.0146
Nd 0.6196 0.9854 0.9854
Nd 0.0000 0.0146 0.6342
Nd 0.3804 0.3658 0.3658
Er 0.6446 0.1982 0.1982
Er 0.5000 0.5000 0.0000
Er 0.3554 0.5536 0.5536
Er 0.0000 0.8018 0.4464
Er 0.0000 0.4464 0.8018
Er 0.5000 0.0000 0.5000
Pm 0.0000 0.0000 0.0000

***

Pm3Nd8Er3 | GGA-PBE | relaxed

Properties
M_tot	0.0	Bohr magnetons per cell
space group	Immm, No. 71

Unit cell a=5.7442 b=9.8394 c=9.8394 alpha=102.18 beta=73.05 gamma=73.05
Fractional coordinates of all 14 atoms:
Nd 0.3413 0.8810 0.4367
Nd 0.6587 0.1190 0.5633
Nd 0.8378 0.7658 0.5593
Nd 0.8378 0.5593 0.7658
Nd 0.1622 0.2342 0.4407
Nd 0.1622 0.4407 0.2342
Nd 0.3413 0.4367 0.8810
Nd 0.6587 0.5633 0.1190
Pm 0.5000 0.0000 0.0000
Pm 0.0000 0.8203 0.1797
Pm 0.0000 0.1797 0.8203
Er 0.7995 0.2001 0.2001
Er 0.2005 0.7999 0.7999
Er 0.5000 0.5000 0.5000

***

Pm2NdEr9 | GGA-PBE | relaxed

Properties
M_tot	0.0	Bohr magnetons per cell
space group	P4/mmm, No. 123

Unit cell a=5.0119 b=5.0123 c=15.0306 alpha=90.00 beta=89.99 gamma=90.00
Fractional coordinates of all 12 atoms:
Er 0.5000 0.0000 0.8328
Er 0.5000 0.5000 0.6664
Er 0.5000 0.5000 0.3336
Er 0.0000 0.5000 0.5000
Er 0.0000 0.5000 0.8328
Er 0.5000 0.5000 0.0000
Er 0.0000 0.5000 0.1672
Er 0.5000 0.0000 0.5000
Er 0.5000 0.0000 0.1672
Nd 0.0000 0.0000 0.0000
Pm 0.0000 0.0000 0.6665
Pm 0.0000 0.0000 0.3335

***

Pm3Nd4Er8 | GGA-PBE | relaxed

Properties
M_tot	0.0	Bohr magnetons per cell
space group	C2/m, No. 12

Unit cell a=6.7666 b=9.3080 c=9.3080 alpha=87.43 beta=111.35 gamma=111.35
Fractional coordinates of all 15 atoms:
Er 0.0000 0.6390 0.3610
Er 0.5000 0.2563 0.7437
Er 0.9927 0.7315 0.7315
Er 0.0000 0.3610 0.6390
Er 0.5000 0.7437 0.2563
Er 0.0073 0.2685 0.2685
Er 0.4715 0.7317 0.7317
Er 0.5285 0.2683 0.2683
Pm 0.5000 0.0000 0.5000
Pm 0.5000 0.5000 0.0000
Pm 0.5000 0.5000 0.5000
Nd 0.0000 0.0000 0.0000
Nd 0.0000 0.0000 0.5000
Nd 0.5000 0.0000 0.0000
Nd 0.0000 0.5000 0.0000

***

Pm3NdEr12 | GGA-PBE | relaxed

Properties
M_tot	0.0	Bohr magnetons per cell
space group	P4/mmm, No. 123

Unit cell a=5.0092 b=5.0092 c=20.0625 alpha=90.00 beta=90.00 gamma=90.00
Fractional coordinates of all 16 atoms:
Er 0.5000 0.5000 0.2503
Er 0.0000 0.5000 0.8746
Er 0.5000 0.0000 0.6249
Er 0.0000 0.5000 0.3751
Er 0.5000 0.0000 0.8746
Er 0.5000 0.5000 0.5000
Er 0.5000 0.5000 0.0000
Er 0.5000 0.0000 0.1254
Er 0.5000 0.5000 0.7497
Er 0.5000 0.0000 0.3751
Er 0.0000 0.5000 0.1254
Er 0.0000 0.5000 0.6249
Pm 0.0000 0.0000 0.7498
Pm 0.0000 0.0000 0.2502
Pm 0.0000 0.0000 0.5000
Nd 0.0000 0.0000 0.0000

***

Pm4NdEr3 | GGA-PBE | relaxed

Properties
M_tot	0.0	Bohr magnetons per cell
space group	Pmn2_1, No. 31

Unit cell a=6.3169 b=7.3237 c=11.5422 alpha=90.00 beta=90.00 gamma=90.00
Fractional coordinates of all 16 atoms:
Pm 0.9817 0.1260 0.2537
Pm 0.1434 0.8715 0.0000
Pm 0.9817 0.1260 0.7463
Pm 0.1514 0.8720 0.5000
Pm 0.6434 0.1285 0.5000
Pm 0.4817 0.8740 0.2463
Pm 0.6514 0.1280 0.0000
Pm 0.4817 0.8740 0.7537
Er 0.1475 0.3783 0.5000
Er 0.6475 0.6217 0.0000
Er 0.9807 0.6219 0.2501
Er 0.4807 0.3781 0.7501
Er 0.9807 0.6219 0.7499
Er 0.4807 0.3781 0.2499
Nd 0.6480 0.6247 0.5000
Nd 0.1480 0.3753 0.0000

***

Pm4Nd2Er | GGA-PBE | relaxed

Properties
M_tot	0.0	Bohr magnetons per cell
space group	R-3m, No. 166

Unit cell a=3.6387 b=3.6387 c=20.8530 alpha=84.99 beta=84.99 gamma=60.00
Fractional coordinates of all 7 atoms:
Er 0.0000 0.0000 0.0000
Pm 0.2870 0.2870 0.1390
Pm 0.7130 0.7130 0.8610
Pm 0.8572 0.8572 0.4284
Pm 0.1428 0.1428 0.5716
Nd 0.4279 0.4279 0.7162
Nd 0.5721 0.5721 0.2838

***

Pm7NdEr3 | GGA-PBE | relaxed

Properties
M_tot	0.0	Bohr magnetons per cell
space group	P3m1, No. 156

Unit cell a=8.6571 b=7.1884 c=7.1884 alpha=120.00 beta=90.00 gamma=90.00
Fractional coordinates of all 11 atoms:
Pm 0.4573 0.8327 0.6653
Pm 0.4573 0.8327 0.1673
Pm 0.1090 0.1673 0.3346
Pm 0.1237 0.6667 0.3333
Pm 0.4573 0.3347 0.1673
Pm 0.1090 0.1673 0.8327
Pm 0.1090 0.6654 0.8327
Er 0.7835 0.5002 0.0004
Er 0.7835 0.9996 0.4998
Er 0.7835 0.5002 0.4998
Nd 0.4423 0.3333 0.6667

***

Computed formation enthalpy at 0 K, in the same sequence as the records: 26.3; 20.9; 18.0; 2.0; 25.6; 20.8; 14.3; 1.4; 8.5; 9.3; 1.7; 31.9; 29.4; 9.7; 2.3; 34.9; 2.2; 2.5; 1.2; 18.3 kJ/mol of atoms.